{
  "formula": "TbSm4Tm3",
  "functional": "PBE",
  "state": "optimized geometry",
  "lattice_angstrom": [[5.049, 0.000, 0.000], [0.000, 10.072, 0.000], [0.000, 0.000, 10.101]],
  "species": ["Tm", "Tm", "Tm", "Tm", "Tm", "Tm", "Tb", "Tb", "Sm", "Sm", "Sm", "Sm", "Sm", "Sm", "Sm", "Sm"],
  "frac_coords": [[0.564, 0.622, 0.000], [0.064, 0.621, 0.250], [0.564, 0.379, 0.250], [0.064, 0.378, 0.500], [0.564, 0.379, 0.750], [0.064, 0.621, 0.750], [0.064, 0.379, 0.000], [0.564, 0.621, 0.500], [0.064, 0.871, 0.000], [0.564, 0.128, 0.000], [0.064, 0.128, 0.250], [0.564, 0.872, 0.250], [0.064, 0.872, 0.500], [0.564, 0.129, 0.500], [0.564, 0.872, 0.750], [0.064, 0.128, 0.750]],
  "spacegroup": "Pmmn",
  "formation_enthalpy_0k_ev_per_atom": 0.026,
  "m_tot_mub_per_cell": 0.0,
  "dos_ef_per_ev_cell": 25.207,
  "total_energy_ev_per_atom": -4.589
}